1.
Density functional theory data (PBE-GGA) for crystalline BiPdN2 at its relaxed geometry.

Values from the calculation:
Uncorrected formation energy (eV per atom): 0.97
Space-group type: I-42d (122)
Total DFT energy (no corrections) (eV per cell): -43.7
V (Å³ per atom): 16.7

```
BiPdN2
1.0
-2.5356 2.5356 5.2058
2.5356 -2.5356 5.2058
2.5356 2.5356 -5.2058
Bi Pd N
2 2 4
direct
0.0000 0.0000 0.0000 Bi
0.7500 0.2500 0.5000 Bi
0.2500 0.7500 0.5000 Pd
0.5000 0.5000 0.0000 Pd
0.1655 0.6250 0.0405 N
0.3750 0.4155 0.5405 N
0.5845 0.1250 0.9595 N
0.8750 0.8345 0.4595 N
```

=====

2.
Density functional theory data (PBE-GGA) for crystalline BiPd2N at its relaxed geometry.

Values from the calculation:
Uncorrected formation energy (eV per atom): 0.81
Space-group type: Fm-3m (225)
Total DFT energy (no corrections) (eV per cell): -19.4
Offset from the most stable computed form (eV/f.u.): 1.936
V (Å³ per atom): 16.1

```
BiPd2N
1.0
0.0000 3.1846 3.1846
3.1846 0.0000 3.1846
3.1846 3.1846 0.0000
Bi Pd N
1 2 1
direct
0.0000 0.0000 0.0000 Bi
0.2500 0.2500 0.2500 Pd
0.7500 0.7500 0.7500 Pd
0.5000 0.5000 0.5000 N
```

=====

3.
Density functional theory data (PBE-GGA) for crystalline BiPdN2 at its relaxed geometry.

Values from the calculation:
Uncorrected formation energy (eV per atom): 0.91
Space-group type: R-3m (166)
Total DFT energy (no corrections) (eV per cell): -22.1
V (Å³ per atom): 16.3

```
BiPdN2
1.0
1.7219 0.9941 6.3576
-1.7219 0.9941 6.3576
0.0000 -1.9882 6.3576
Bi Pd N
1 1 2
direct
0.0000 0.0000 0.0000 Bi
0.5000 0.5000 0.5000 Pd
0.3967 0.3967 0.3967 N
0.6033 0.6033 0.6033 N
```

=====

4.
Density functional theory data (PBE-GGA) for crystalline Bi3PdN at its relaxed geometry.

Values from the calculation:
Uncorrected formation energy (eV per atom): 1.40
Space-group type: Pm-3m (221)
Total DFT energy (no corrections) (eV per cell): -18.2
Offset from the most stable computed form (eV/f.u.): 4.653
V (Å³ per atom): 30.0

```
Bi3PdN
1.0
5.3136 0.0000 0.0000
0.0000 5.3136 0.0000
0.0000 0.0000 5.3136
Bi Pd N
3 1 1
direct
0.0000 0.0000 0.5000 Bi
0.0000 0.5000 0.0000 Bi
0.5000 0.0000 0.0000 Bi
0.0000 0.0000 0.0000 Pd
0.5000 0.5000 0.5000 N
```

=====

5.
Density functional theory data (PBE-GGA) for crystalline BiPd2N at its relaxed geometry.

Values from the calculation:
Uncorrected formation energy (eV per atom): 0.32
Space-group type: I-42d (122)
Total DFT energy (no corrections) (eV per cell): -42.6
Offset from the most stable computed form (eV/f.u.): 0.000
V (Å³ per atom): 19.4

```
BiPd2N
1.0
-2.5513 2.5513 5.9514
2.5513 -2.5513 5.9514
2.5513 2.5513 -5.9514
Bi Pd N
2 4 2
direct
0.0000 0.0000 0.0000 Bi
0.7500 0.2500 0.5000 Bi
0.2753 0.6250 0.1503 Pd
0.3750 0.5253 0.6503 Pd
0.4747 0.1250 0.8497 Pd
0.8750 0.7247 0.3497 Pd
0.2500 0.7500 0.5000 N
0.5000 0.5000 0.0000 N
```

=====

6.
Density functional theory data (PBE-GGA) for crystalline BiPdN3 at its relaxed geometry.

Values from the calculation:
Uncorrected formation energy (eV per atom): 1.63
Space-group type: Pm-3m (221)
Total DFT energy (no corrections) (eV per cell): -25.9
V (Å³ per atom): 13.0

```
BiPdN3
1.0
4.0240 0.0000 0.0000
0.0000 4.0240 0.0000
0.0000 0.0000 4.0240
Bi Pd N
1 1 3
direct
0.0000 0.0000 0.0000 Bi
0.5000 0.5000 0.5000 Pd
0.0000 0.5000 0.5000 N
0.5000 0.0000 0.5000 N
0.5000 0.5000 0.0000 N
```

=====

7.
Density functional theory data (PBE-GGA) for crystalline BiPdN3 at its relaxed geometry.

Values from the calculation:
Uncorrected formation energy (eV per atom): 2.39
Space-group type: Pm-3m (221)
Total DFT energy (no corrections) (eV per cell): -22.1
V (Å³ per atom): 15.4

```
BiPdN3
1.0
4.2497 0.0000 0.0000
0.0000 4.2497 0.0000
0.0000 0.0000 4.2497
Bi Pd N
1 1 3
direct
0.0000 0.0000 0.0000 Bi
0.5000 0.5000 0.5000 Pd
0.0000 0.0000 0.5000 N
0.0000 0.5000 0.0000 N
0.5000 0.0000 0.0000 N
```

=====

8.
Density functional theory data (PBE-GGA) for crystalline BiPdN2 at its relaxed geometry.

Values from the calculation:
Uncorrected formation energy (eV per atom): 0.96
Space-group type: R-3m (166)
Total DFT energy (no corrections) (eV per cell): -21.9
V (Å³ per atom): 15.3

```
BiPdN2
1.0
1.6414 0.9476 6.5603
-1.6414 0.9476 6.5603
0.0000 -1.8953 6.5603
Bi Pd N
1 1 2
direct
0.0000 0.0000 0.0000 Bi
0.5000 0.5000 0.5000 Pd
0.1195 0.1195 0.1195 N
0.8805 0.8805 0.8805 N
```

=====

9.
Density functional theory data (PBE-GGA) for crystalline Bi3PdN at its relaxed geometry.

Values from the calculation:
Uncorrected formation energy (eV per atom): 0.47
Space-group type: Pm-3m (221)
Total DFT energy (no corrections) (eV per cell): -22.8
Offset from the most stable computed form (eV/f.u.): 0.000
V (Å³ per atom): 23.1

```
Bi3PdN
1.0
4.8694 0.0000 0.0000
0.0000 4.8694 0.0000
0.0000 0.0000 4.8694
Bi Pd N
3 1 1
direct
0.0000 0.0000 0.5000 Bi
0.0000 0.5000 0.0000 Bi
0.5000 0.0000 0.0000 Bi
0.5000 0.5000 0.5000 Pd
0.0000 0.0000 0.0000 N
```

=====

10.
Density functional theory data (PBE-GGA) for crystalline BiPdPt2N at its relaxed geometry.

Values from the calculation:
Uncorrected formation energy (eV per atom): 2.03
Space-group type: P4/mmm (123)
Total DFT energy (no corrections) (eV per cell): -19.3
V (Å³ per atom): 27.5

```
BiPdPt2N
1.0
5.1390 0.0000 0.0000
0.0000 5.1390 0.0000
0.0000 0.0000 5.2061
Bi Pd Pt N
1 1 2 1
direct
0.0000 0.0000 0.0000 Bi
0.0000 0.0000 0.5000 Pd
0.0000 0.5000 0.0000 Pt
0.5000 0.0000 0.0000 Pt
0.5000 0.5000 0.5000 N
```

=====

11.
Density functional theory data (PBE-GGA) for crystalline RbBiPdN2 at its relaxed geometry.

Values from the calculation:
Uncorrected formation energy (eV per atom): 2.39
Space-group type: P4/mmm (123)
Total DFT energy (no corrections) (eV per cell): -14.7
V (Å³ per atom): 23.0

```
RbBiPdN2
1.0
4.5438 0.0000 0.0000
0.0000 4.5438 0.0000
0.0000 0.0000 5.5600
Rb Bi Pd N
1 1 1 2
direct
0.0000 0.0000 0.0000 Rb
0.5000 0.5000 0.5000 Bi
0.0000 0.0000 0.5000 Pd
0.0000 0.5000 0.0000 N
0.5000 0.0000 0.0000 N
```

=====

12.
Density functional theory data (PBE-GGA) for crystalline BiPdSN2 at its relaxed geometry.

Values from the calculation:
Uncorrected formation energy (eV per atom): 1.19
Space-group type: P4/mmm (123)
Total DFT energy (no corrections) (eV per cell): -23.9
Offset from the most stable computed form (eV/f.u.): 0.000
V (Å³ per atom): 16.3

```
BiPdSN2
1.0
4.0854 0.0000 0.0000
0.0000 4.0854 0.0000
0.0000 0.0000 4.8759
Bi Pd S N
1 1 1 2
direct
0.0000 0.0000 0.0000 Bi
0.5000 0.5000 0.5000 Pd
0.5000 0.5000 0.0000 S
0.0000 0.5000 0.5000 N
0.5000 0.0000 0.5000 N
```

=====

Q: What is the total DFT energy (no corrections) in the twelfth record?
A: -23.9 eV per cell

=====

Q: What is the total DFT energy (no corrections) in the third record?
A: -22.1 eV per cell